Below is an optimized crystal structure of LiPt2Cl, with properties calculated at the PBE-GGA level.

crystal system	orthorhombic
ΔE_f (raw)	-0.095	eV/atom
offset from the most stable computed form	239.8	meV/atom

POSCAR file:
```
LiPt2Cl
1.0
5.870 0.015 -0.005
3.298 4.856 0.005
-4.349 -2.877 2.695
Cl Li Pt
1 1 2
Cartesian
5.299 2.815 0.000
1.985 2.323 1.350
8.364 4.443 0.000
2.922 -0.283 1.345
```

***

Below is an optimized crystal structure of ErTmScCu, with properties calculated at the PBE-GGA level.

N(E_F)	3.48	states/eV/f.u.
crystal system	cubic
electronic total energy	-4.749	eV/atom

POSCAR file:
```
ErTmScCu
1.0
5.105 0.000 0.000
2.552 4.421 0.000
2.552 1.474 4.168
Er Tm Sc Cu
1 1 1 1
Cartesian
5.105 2.947 2.084
0.000 0.000 0.000
2.552 1.474 1.042
7.657 4.421 3.126
```

***

Below is an optimized crystal structure of Er2AlF, with properties calculated at the PBE-GGA level.

N(E_F)	1.54	states/eV/f.u.
crystal system	trigonal
ΔE_f (raw)	-1.221	eV/atom

POSCAR file:
```
Er2AlF
1.0
-2.987 1.289 -1.449
-2.769 0.840 2.077
0.716 7.622 0.927
Al Er F
1 2 1
Cartesian
-2.520 4.875 0.778
-3.661 7.626 1.199
-1.379 2.125 0.356
0.000 0.000 0.000
```

***

Below is an optimized crystal structure of Tb3Al5Zn6, with properties calculated at the PBE-GGA level.

N(E_F)	5.52	states/eV/f.u.
crystal system	orthorhombic
electronic total energy	-3.267	eV/atom

POSCAR file:
```
Tb3Al5Zn6
1.0
-0.029 -3.225 -2.789
-3.140 -6.022 6.995
-11.836 2.696 -2.992
Tb Al Zn
6 10 12
Cartesian
-4.428 -0.669 0.821
-8.972 0.366 -0.328
-11.936 -3.956 1.441
-8.295 -4.794 2.371
-0.778 -1.492 1.733
-4.645 -5.617 3.284
-6.806 -4.417 5.178
-10.317 -0.036 -3.108
-2.343 -4.494 5.221
-11.755 -0.836 1.091
-2.267 -1.870 -1.073
-3.356 -2.749 3.214
-5.717 -3.537 0.891
-9.153 -2.754 0.022
-6.729 -1.792 -1.116
-10.592 -3.554 4.221
-6.077 1.043 -1.142
-11.172 -1.593 -1.299
-6.029 -2.842 3.349
-7.649 -0.074 -3.092
-4.669 -5.473 6.377
-4.404 -0.813 -2.272
-9.736 -1.997 2.412
-3.044 -3.445 0.755
-7.349 -1.397 1.693
-1.723 -4.889 2.412
-2.996 -7.330 5.247
-13.260 -3.516 4.205
```

***

Below is an optimized crystal structure of ThPaHgPd, with properties calculated at the PBE-GGA level.

N(E_F)	7.24	states/eV/f.u.
crystal system	cubic
electronic total energy	-5.733	eV/atom

POSCAR file:
```
ThPaHgPd
1.0
5.195 0.000 0.000
2.598 4.499 0.000
2.598 1.500 4.242
Hg Th Pd Pa
1 1 1 1
Cartesian
5.195 2.999 2.121
2.598 1.500 1.060
0.000 0.000 0.000
7.793 4.499 3.181
```

***

Below is an optimized crystal structure of BaMg14Sn, with properties calculated at the PBE-GGA level.

N(E_F)	9.26	states/eV/f.u.
crystal system	hexagonal
offset from the most stable computed form	25.8	meV/atom

POSCAR file:
```
BaMg14Sn
1.0
3.342 -5.789 0.000
3.342 5.789 0.000
0.000 0.000 10.466
Ba Mg Sn
1 14 1
Cartesian
0.000 0.000 5.233
1.729 0.998 2.438
3.342 -1.930 2.711
4.930 2.846 5.233
1.740 -2.855 0.000
3.342 3.792 2.438
3.342 0.096 5.233
1.755 2.846 5.233
4.955 0.998 2.438
4.945 -2.855 0.000
1.729 0.998 8.027
3.342 -1.930 7.754
4.955 0.998 8.027
3.342 3.792 8.027
3.342 -0.079 0.000
0.000 0.000 0.000
```

***

Below is an optimized crystal structure of Pu2Tl2I7, with properties calculated at the PBE-GGA level.

N(E_F)	31.50	states/eV/f.u.
crystal system	monoclinic
ΔE_f (raw)	-0.889	eV/atom

POSCAR file:
```
Pu2Tl2I7
1.0
7.972 -0.130 -0.127
-0.185 7.547 3.366
-0.240 -0.612 8.240
I Tl Pu
7 2 2
Cartesian
5.821 3.771 6.380
0.000 0.000 0.000
1.687 6.699 7.222
1.663 3.166 9.333
5.884 3.639 2.146
1.726 3.034 5.099
5.860 0.106 4.257
3.759 1.282 7.006
3.788 5.523 4.473
0.208 1.640 2.748
7.339 5.165 8.731
```

***

Below is an optimized crystal structure of SiRu2Cl, with properties calculated at the PBE-GGA level.

N(E_F)	3.04	states/eV/f.u.
crystal system	orthorhombic
ΔE_f (raw)	0.378	eV/atom
offset from the most stable computed form	439.7	meV/atom

POSCAR file:
```
SiRu2Cl
1.0
2.823 0.000 0.000
0.000 5.247 0.000
0.000 0.000 4.009
Ru Cl Si
2 1 1
Cartesian
1.412 2.624 0.000
0.000 0.000 0.000
0.000 2.624 2.004
1.412 0.000 2.004
```